No. 1
Density functional theory data (PBE-GGA) for a geometry-optimized KLi2NiN structure.

The structure in CIF format:
```
data_KLi2NiN
_space_group_name_H-M_alt 'P 4/m m m'
_space_group_IT_number 123
_space_group_name_Hall '-P 4 2'
_cell_length_a 4.8898
_cell_length_b 4.8898
_cell_length_c 3.5649
_cell_angle_alpha 90.00
_cell_angle_beta 90.00
_cell_angle_gamma 90.00
loop_
_atom_site_label
_atom_site_fract_x
_atom_site_fract_y
_atom_site_fract_z
_atom_site_occupancy
K1 0.0000 0.0000 0.0000 1
Li1 0.0000 0.5000 0.5000 1
Ni1 0.5000 0.5000 0.5000 1
N1 0.5000 0.5000 0.0000 1
```

The raw formation energy comes out at 0.20 eV/atom. As for the total energy: -18.05 eV/cell. The volume comes out at 85.2 Å³/cell.



No. 2
Density functional theory data (PBE-GGA) for a geometry-optimized KLiNp4N8 structure.

The structure in CIF format:
```
data_KLiNp4N8
_space_group_name_H-M_alt 'R 3 m'
_space_group_IT_number 160
_space_group_name_Hall 'R 3 -2"'
_cell_length_a 6.9063
_cell_length_b 6.9063
_cell_length_c 15.8473
_cell_angle_alpha 90.00
_cell_angle_beta 90.00
_cell_angle_gamma 120.00
loop_
_atom_site_label
_atom_site_fract_x
_atom_site_fract_y
_atom_site_fract_z
_atom_site_occupancy
K1 0.0000 0.0000 0.0000 1
Li1 0.0000 0.0000 0.6201 1
Np1 0.0000 0.0000 0.2282 1
Np2 0.1698 0.3395 0.4475 1
N1 0.0000 0.0000 0.3745 1
N2 0.0000 0.0000 0.8427 1
N3 0.0685 0.5343 0.3836 1
N4 0.1780 0.3561 0.1817 1
```

The raw formation energy comes out at -0.72 eV/atom. As for the total energy: -394.46 eV/cell. The volume comes out at 654.6 Å³/cell.



No. 3
Density functional theory data (PBE-GGA) for a geometry-optimized KLiNO2 structure.

The structure in CIF format:
```
data_KLiNO2
_space_group_name_H-M_alt 'P 4/m m m'
_space_group_IT_number 123
_space_group_name_Hall '-P 4 2'
_cell_length_a 4.8770
_cell_length_b 4.8770
_cell_length_c 5.0553
_cell_angle_alpha 90.00
_cell_angle_beta 90.00
_cell_angle_gamma 90.00
loop_
_atom_site_label
_atom_site_fract_x
_atom_site_fract_y
_atom_site_fract_z
_atom_site_occupancy
K1 0.0000 0.0000 0.0000 1
Li1 0.5000 0.5000 0.5000 1
N1 0.0000 0.0000 0.5000 1
O1 0.0000 0.5000 0.0000 1
```

The raw formation energy comes out at 1.11 eV/atom. As for the total energy: -15.71 eV/cell. The volume comes out at 120.2 Å³/cell.



No. 4
Density functional theory data (PBE-GGA) for a geometry-optimized KLiNO2 structure.

The structure in CIF format:
```
data_KLiNO2
_space_group_name_H-M_alt 'P 4/m m m'
_space_group_IT_number 123
_space_group_name_Hall '-P 4 2'
_cell_length_a 4.0296
_cell_length_b 4.0296
_cell_length_c 4.3702
_cell_angle_alpha 90.00
_cell_angle_beta 90.00
_cell_angle_gamma 90.00
loop_
_atom_site_label
_atom_site_fract_x
_atom_site_fract_y
_atom_site_fract_z
_atom_site_occupancy
K1 0.0000 0.0000 0.0000 1
Li1 0.5000 0.5000 0.5000 1
N1 0.5000 0.5000 0.0000 1
O1 0.0000 0.5000 0.5000 1
```

The raw formation energy comes out at 0.34 eV/atom. As for the total energy: -19.56 eV/cell. The volume comes out at 71.0 Å³/cell.



No. 5
Density functional theory data (PBE-GGA) for a geometry-optimized KLiN2O structure.

The structure in CIF format:
```
data_KLiN2O
_space_group_name_H-M_alt 'P 4/m m m'
_space_group_IT_number 123
_space_group_name_Hall '-P 4 2'
_cell_length_a 5.1157
_cell_length_b 5.1157
_cell_length_c 4.7726
_cell_angle_alpha 90.00
_cell_angle_beta 90.00
_cell_angle_gamma 90.00
loop_
_atom_site_label
_atom_site_fract_x
_atom_site_fract_y
_atom_site_fract_z
_atom_site_occupancy
K1 0.0000 0.0000 0.0000 1
Li1 0.5000 0.5000 0.5000 1
N1 0.0000 0.5000 0.0000 1
O1 0.0000 0.0000 0.5000 1
```

The raw formation energy comes out at 1.75 eV/atom. As for the total energy: -15.89 eV/cell. The volume comes out at 124.9 Å³/cell.



No. 6
Density functional theory data (PBE-GGA) for a geometry-optimized KLiN2O structure.

The structure in CIF format:
```
data_KLiN2O
_space_group_name_H-M_alt 'P 4/m m m'
_space_group_IT_number 123
_space_group_name_Hall '-P 4 2'
_cell_length_a 4.4190
_cell_length_b 4.4190
_cell_length_c 3.9041
_cell_angle_alpha 90.00
_cell_angle_beta 90.00
_cell_angle_gamma 90.00
loop_
_atom_site_label
_atom_site_fract_x
_atom_site_fract_y
_atom_site_fract_z
_atom_site_occupancy
K1 0.0000 0.0000 0.0000 1
Li1 0.5000 0.5000 0.5000 1
N1 0.0000 0.5000 0.5000 1
O1 0.5000 0.5000 0.0000 1
```

The raw formation energy comes out at 1.07 eV/atom. As for the total energy: -19.25 eV/cell. The volume comes out at 76.2 Å³/cell.



No. 7
Density functional theory data (PBE-GGA) for a geometry-optimized KLiPN2 structure.

The structure in CIF format:
```
data_KLiPN2
_space_group_name_H-M_alt 'C 1 2/m 1'
_space_group_IT_number 12
_space_group_name_Hall '-C 2y'
_cell_length_a 10.4550
_cell_length_b 3.4271
_cell_length_c 7.6881
_cell_angle_alpha 90.00
_cell_angle_beta 101.74
_cell_angle_gamma 90.00
loop_
_atom_site_label
_atom_site_fract_x
_atom_site_fract_y
_atom_site_fract_z
_atom_site_occupancy
K1 0.1491 0.0000 0.1311 1
Li1 0.1886 0.0000 0.5500 1
P1 0.0507 0.5000 0.6633 1
N1 0.0954 0.0000 0.7575 1
N2 0.1077 0.5000 0.4564 1
```

The raw formation energy comes out at -0.25 eV/atom. As for the total energy: -105.30 eV/cell. The volume comes out at 269.7 Å³/cell.



No. 8
Density functional theory data (PBE-GGA) for a geometry-optimized KLi2Pa3N6 structure.

The structure in CIF format:
```
data_KLi2Pa3N6
_space_group_name_H-M_alt 'C 1 2/m 1'
_space_group_IT_number 12
_space_group_name_Hall '-C 2y'
_cell_length_a 14.5141
_cell_length_b 3.5800
_cell_length_c 7.8720
_cell_angle_alpha 90.00
_cell_angle_beta 104.42
_cell_angle_gamma 90.00
loop_
_atom_site_label
_atom_site_fract_x
_atom_site_fract_y
_atom_site_fract_z
_atom_site_occupancy
K1 0.0000 0.0000 0.0000 1
Li1 0.1837 0.5000 0.4310 1
Pa1 0.0000 0.0000 0.5000 1
Pa2 0.1812 0.5000 0.8157 1
N1 0.0194 0.5000 0.6837 1
N2 0.1719 0.0000 0.6067 1
N3 0.1777 0.0000 0.9868 1
```

The raw formation energy comes out at -1.25 eV/atom. As for the total energy: -196.81 eV/cell. The volume comes out at 396.1 Å³/cell.



No. 9
Density functional theory data (PBE-GGA) for a geometry-optimized KLiPbN2 structure.

The structure in CIF format:
```
data_KLiPbN2
_space_group_name_H-M_alt 'P 4/m m m'
_space_group_IT_number 123
_space_group_name_Hall '-P 4 2'
_cell_length_a 4.6480
_cell_length_b 4.6480
_cell_length_c 4.8122
_cell_angle_alpha 90.00
_cell_angle_beta 90.00
_cell_angle_gamma 90.00
loop_
_atom_site_label
_atom_site_fract_x
_atom_site_fract_y
_atom_site_fract_z
_atom_site_occupancy
K1 0.0000 0.0000 0.0000 1
Li1 0.5000 0.5000 0.5000 1
Pb1 0.5000 0.5000 0.0000 1
N1 0.0000 0.5000 0.5000 1
```

The raw formation energy comes out at 1.35 eV/atom. As for the total energy: -16.64 eV/cell. The volume comes out at 104.0 Å³/cell.



No. 10
Density functional theory data (PBE-GGA) for a geometry-optimized KLiReN2 structure.

The structure in CIF format:
```
data_KLiReN2
_space_group_name_H-M_alt 'C m m e'
_space_group_IT_number 67
_space_group_name_Hall '-C 2a 2'
_cell_length_a 5.4160
_cell_length_b 12.2692
_cell_length_c 5.0722
_cell_angle_alpha 90.00
_cell_angle_beta 90.00
_cell_angle_gamma 90.00
loop_
_atom_site_label
_atom_site_fract_x
_atom_site_fract_y
_atom_site_fract_z
_atom_site_occupancy
K1 0.0000 0.2500 0.2493 1
Li1 0.0000 0.0000 0.0000 1
Re1 0.2500 0.0000 0.5000 1
N1 0.0000 0.0904 0.6827 1
```

The raw formation energy comes out at -0.18 eV/atom. As for the total energy: -132.07 eV/cell. The volume comes out at 337.1 Å³/cell.



No. 11
Density functional theory data (PBE-GGA) for a geometry-optimized K2LiReN structure.

The structure in CIF format:
```
data_K2LiReN
_space_group_name_H-M_alt 'P 4/m m m'
_space_group_IT_number 123
_space_group_name_Hall '-P 4 2'
_cell_length_a 6.3204
_cell_length_b 6.3204
_cell_length_c 4.8300
_cell_angle_alpha 90.00
_cell_angle_beta 90.00
_cell_angle_gamma 90.00
loop_
_atom_site_label
_atom_site_fract_x
_atom_site_fract_y
_atom_site_fract_z
_atom_site_occupancy
K1 0.0000 0.5000 0.0000 1
Li1 0.0000 0.0000 0.5000 1
Re1 0.0000 0.0000 0.0000 1
N1 0.5000 0.5000 0.5000 1
```

The raw formation energy comes out at 2.31 eV/atom. As for the total energy: -13.35 eV/cell. The volume comes out at 193.0 Å³/cell.



No. 12
Density functional theory data (PBE-GGA) for a geometry-optimized KLiSN2 structure.

The structure in CIF format:
```
data_KLiSN2
_space_group_name_H-M_alt 'P 4/m m m'
_space_group_IT_number 123
_space_group_name_Hall '-P 4 2'
_cell_length_a 4.5773
_cell_length_b 4.5773
_cell_length_c 4.7259
_cell_angle_alpha 90.00
_cell_angle_beta 90.00
_cell_angle_gamma 90.00
loop_
_atom_site_label
_atom_site_fract_x
_atom_site_fract_y
_atom_site_fract_z
_atom_site_occupancy
K1 0.0000 0.0000 0.0000 1
Li1 0.5000 0.5000 0.5000 1
S1 0.5000 0.5000 0.0000 1
N1 0.0000 0.5000 0.5000 1
```

The raw formation energy comes out at 1.22 eV/atom. The value obtained for the distance to the lowest polymorph of the same formula is 0.000 eV/atom. As for the total energy: -17.70 eV/cell. The volume comes out at 99.0 Å³/cell.